Entry 1:
A plane-wave DFT calculation with GGA-PBE was carried out for a geometry-optimized Ca2BiSbO6 structure.

Cell lengths 5.8385, 5.8385, 8.5041 Å; angles 90.00, 90.00, 90.00 degrees
Last column: nearest neighbours and their distance in Å.
Atoms (fractional coordinates):
Ca 0.5000 0.0000 0.7500  4 O 2.53
Ca 0.0000 0.5000 0.7500  4 O 2.53
Ca 0.5000 0.0000 0.2500  4 O 2.53
Ca 0.0000 0.5000 0.2500  4 O 2.53
Bi 0.5000 0.5000 0.5000  6 O 2.26-2.35
Bi 0.0000 0.0000 0.0000  6 O 2.26-2.35
Sb 0.5000 0.5000 0.0000  6 O 2.00-2.01
Sb 0.0000 0.0000 0.5000  6 O 2.00-2.01
O 0.5000 0.5000 0.7653  1 Sb 2.00
O 0.0000 0.0000 0.7347  1 Sb 2.00
O 0.5000 0.5000 0.2347  1 Sb 2.00
O 0.0000 0.0000 0.2653  1 Sb 2.00
O 0.6855 0.1420 0.5000  1 Sb 2.01
O 0.3145 0.8580 0.5000  1 Sb 2.01
O 0.8580 0.6855 0.5000  1 Sb 2.01
O 0.1420 0.3145 0.5000  1 Sb 2.01
O 0.8145 0.6420 0.0000  1 Sb 2.01
O 0.1855 0.3580 0.0000  1 Sb 2.01
O 0.6420 0.1855 0.0000  1 Sb 2.01
O 0.3580 0.8145 0.0000  1 Sb 2.01

## Properties
Total magnetic moment: 0.00 μB per formula unit
Formation energy (no corrections): -189.64 kJ/mol of atoms

Entry 2:
A plane-wave DFT calculation with GGA-PBE was carried out for a geometry-optimized CaBiSbO6 structure.

Cell lengths 5.4706, 5.4706, 10.1759 Å; angles 90.00, 90.00, 120.00 degrees
Last column: nearest neighbours and their distance in Å.
Atoms (fractional coordinates):
Ca 0.0000 0.0000 0.0000  6 O 2.44
Ca 0.0000 0.0000 0.5000  6 O 2.44
Bi 0.3333 0.6667 0.2500  6 O 2.15
Bi 0.6667 0.3333 0.7500  6 O 2.15
Sb 0.6667 0.3333 0.2500  6 O 2.02
Sb 0.3333 0.6667 0.7500  6 O 2.02
O 0.6445 0.6275 0.1380  1 Sb 2.02, 1 Bi 2.15
O 0.9830 0.3555 0.1380  1 Sb 2.02, 1 Bi 2.15
O 0.3555 0.9830 0.6380  1 Sb 2.02, 1 Bi 2.15
O 0.0170 0.6445 0.8620  1 Sb 2.02, 1 Bi 2.15
O 0.3725 0.3555 0.3620  1 Sb 2.02, 1 Bi 2.15
O 0.9830 0.6275 0.3620  1 Sb 2.02, 1 Bi 2.15
O 0.6275 0.9830 0.8620  1 Sb 2.02, 1 Bi 2.15
O 0.6445 0.0170 0.3620  1 Sb 2.02, 1 Bi 2.15
O 0.0170 0.3725 0.6380  1 Sb 2.02, 1 Bi 2.15
O 0.3725 0.0170 0.1380  1 Sb 2.02, 1 Bi 2.15
O 0.6275 0.6445 0.6380  1 Sb 2.02, 1 Bi 2.15
O 0.3555 0.3725 0.8620  1 Sb 2.02, 1 Bi 2.15

## Properties
Total magnetic moment: 0.00 μB per formula unit
Formation energy (no corrections): -156.73 kJ/mol of atoms

Entry 3:
A plane-wave DFT calculation with GGA-PBE was carried out for a geometry-optimized CaBi2SbO6 structure.

Cell lengths 6.0505, 6.0507, 6.0285 Å; angles 59.87, 59.88, 59.98 degrees
Last column: nearest neighbours and their distance in Å.
Atoms (fractional coordinates):
Ca 0.8027 0.8028 0.5916  6 O 2.32-2.44
Bi 0.5279 0.5280 0.4161  6 O 2.34-2.50
Bi 0.0249 0.0249 0.9252  6 O 2.30-2.53
Sb 0.3135 0.3135 0.0596  6 O 2.12-2.23
O 0.6211 0.1849 0.2384  1 Sb 2.23, 1 Bi 2.30, 1 Ca 2.44
O 0.1848 0.9556 0.2384  1 Sb 2.23, 1 Bi 2.30, 1 Ca 2.44
O 0.9557 0.6212 0.2383  1 Sb 2.23, 1 Bi 2.30, 1 Ca 2.44
O 0.4422 0.6529 0.7692  1 Sb 2.12, 1 Ca 2.32, 1 Bi 2.34
O 0.6530 0.1355 0.7693  1 Sb 2.12, 1 Ca 2.32, 1 Bi 2.34
O 0.1357 0.4422 0.7691  1 Sb 2.12, 1 Ca 2.32, 1 Bi 2.34

## Properties
Total magnetic moment: 1.04 μB per formula unit
Formation energy (no corrections): -151.44 kJ/mol of atoms

Entry 4:
A plane-wave DFT calculation with GGA-PBE was carried out for a geometry-optimized Ca2BiSbO6 structure.

Cell lengths 8.2352, 5.7747, 5.9666 Å; angles 89.43, 90.00, 90.00 degrees
Last column: nearest neighbours and their distance in Å.
Atoms (fractional coordinates):
Ca 0.2500 0.4925 0.4454  4 O 2.35-2.37
Ca 0.7500 0.5075 0.5546  4 O 2.35-2.37
Ca 0.2500 0.0038 0.9489  4 O 2.25-2.45
Ca 0.7500 0.9962 0.0511  4 O 2.25-2.45
Bi 0.5000 0.5000 0.0000  6 O 2.25-2.40
Bi 0.0000 0.5000 0.0000  6 O 2.25-2.40
Sb 0.5000 0.0000 0.5000  6 O 2.00-2.19
Sb 0.0000 0.0000 0.5000  6 O 2.00-2.19
O 0.5600 0.7110 0.3351  1 Sb 2.01
O 0.9425 0.8411 0.7885  1 Sb 2.00
O 0.0600 0.2890 0.6649  1 Sb 2.01
O 0.4425 0.1589 0.2115  1 Sb 2.00
O 0.5575 0.8411 0.7885  1 Sb 2.00
O 0.0575 0.1589 0.2115  1 Sb 2.00
O 0.7500 0.1151 0.4445  2 Sb 2.19, 1 Ca 2.37
O 0.9400 0.7110 0.3351  1 Sb 2.01
O 0.2500 0.6358 0.0751  2 Ca 2.25-2.35, 2 Bi 2.25
O 0.4400 0.2890 0.6649  1 Sb 2.01
O 0.2500 0.8849 0.5555  2 Sb 2.19, 1 Ca 2.37
O 0.7500 0.3642 0.9249  2 Ca 2.25-2.35, 2 Bi 2.25

## Properties
Total magnetic moment: 0.00 μB per formula unit
Formation energy (no corrections): -195.16 kJ/mol of atoms

Entry 5:
A plane-wave DFT calculation with GGA-PBE was carried out for a geometry-optimized SrCaBiSbO6 structure.

Cell lengths 6.0264, 6.0264, 6.0264 Å; angles 60.00, 60.00, 60.00 degrees
Last column: nearest neighbours and their distance in Å.
Atoms (fractional coordinates):
Sr 0.2500 0.2500 0.2500  12 O 3.02
Ca 0.7500 0.7500 0.7500  12 O 3.02
Bi 0.0000 0.0000 0.0000  6 O 2.27
Sb 0.5000 0.5000 0.5000  6 O 1.99
O 0.2662 0.7338 0.2662  1 Sb 1.99
O 0.7338 0.2662 0.7338  1 Sb 1.99
O 0.2662 0.7338 0.7338  1 Sb 1.99
O 0.7338 0.2662 0.2662  1 Sb 1.99
O 0.2662 0.2662 0.7338  1 Sb 1.99
O 0.7338 0.7338 0.2662  1 Sb 1.99

## Properties
Total magnetic moment: 0.00 μB per formula unit
Formation energy (no corrections): -182.24 kJ/mol of atoms

Entry 6:
A plane-wave DFT calculation with GGA-PBE was carried out for a geometry-optimized Ca2Sc4Bi3O2 structure.

Cell lengths 4.4540, 4.4540, 12.9274 Å; angles 99.92, 99.92, 90.00 degrees
Last column: nearest neighbours and their distance in Å.
Atoms (fractional coordinates):
Ca 0.3079 0.3079 0.6159  1 O 2.51
Ca 0.6921 0.6921 0.3841  1 O 2.51
Sc 0.4172 0.9172 0.8344  2 O 2.24
Sc 0.9172 0.4172 0.8344  2 O 2.24
Sc 0.0828 0.5828 0.1656  2 O 2.24
Sc 0.5828 0.0828 0.1656  2 O 2.24
Bi 0.0000 0.0000 0.0000  8 Sc 3.04
Bi 0.1736 0.1736 0.3472  5 Ca 3.18-3.37, 4 Sc 3.19
Bi 0.8264 0.8264 0.6528  5 Ca 3.18-3.37, 4 Sc 3.19
O 0.4082 0.4082 0.8164  4 Sc 2.24
O 0.5918 0.5918 0.1836  4 Sc 2.24

## Properties
Total magnetic moment: 0.00 μB per formula unit
Formation energy (no corrections): -147.38 kJ/mol of atoms

Entry 7:
A plane-wave DFT calculation with GGA-PBE was carried out for a geometry-optimized CaSc2BiO structure.

Cell lengths 4.4773, 4.4773, 5.0699 Å; angles 90.00, 90.00, 90.00 degrees
Last column: nearest neighbours and their distance in Å.
Atoms (fractional coordinates):
Sc 0.0000 0.5000 0.0000  2 O 2.24
Sc 0.5000 0.0000 0.0000  2 O 2.24
Ca 0.0000 0.0000 0.5000  2 O 2.53
Bi 0.5000 0.5000 0.5000  4 Ca 3.17, 8 Sc 3.38
O 0.0000 0.0000 0.0000  4 Sc 2.24

## Properties
Total magnetic moment: 1.25 μB per formula unit
Formation energy (no corrections): -128.27 kJ/mol of atoms

Entry 8:
A plane-wave DFT calculation with GGA-PBE was carried out for a geometry-optimized CaScBi2O6 structure.

Cell lengths 5.8112, 5.8112, 6.1103 Å; angles 61.61, 61.61, 60.00 degrees
Last column: nearest neighbours and their distance in Å.
Atoms (fractional coordinates):
Ca 0.8061 0.8061 0.5817  6 O 2.32-2.46
Sc 0.3134 0.3134 0.0597  6 O 2.10-2.23
Bi 0.5258 0.5258 0.4227  6 O 2.37-2.42
Bi 0.0192 0.0192 0.9425  6 O 2.29-2.31
O 0.6014 0.1940 0.2415  1 Sc 2.10, 1 Bi 2.31
O 0.1940 0.9631 0.2415  1 Sc 2.10, 1 Bi 2.31
O 0.9631 0.6014 0.2415  1 Sc 2.10, 1 Bi 2.31
O 0.4080 0.6948 0.7614  1 Sc 2.23, 2 Bi 2.29-2.37, 1 Ca 2.32
O 0.6948 0.1357 0.7614  1 Sc 2.23, 2 Bi 2.29-2.37, 1 Ca 2.32
O 0.1357 0.4080 0.7614  1 Sc 2.23, 2 Bi 2.29-2.37, 1 Ca 2.32

## Properties
Total magnetic moment: 0.89 μB per formula unit
Formation energy (no corrections): -199.93 kJ/mol of atoms

Entry 9:
A plane-wave DFT calculation with GGA-PBE was carried out for a geometry-optimized CaSiBiO4 structure.

Cell lengths 5.5828, 5.5828, 7.2295 Å; angles 90.00, 90.00, 116.61 degrees
Last column: nearest neighbours and their distance in Å.
Atoms (fractional coordinates):
Ca 0.5000 0.5000 0.5000  6 O 2.34-2.45
Ca 0.5000 0.5000 0.0000  6 O 2.34-2.45
Si 0.1571 0.8429 0.2500  4 O 1.65-1.68
Si 0.8429 0.1571 0.7500  4 O 1.65-1.68
Bi 0.8121 0.1879 0.2500  4 O 2.38-2.64
Bi 0.1879 0.8121 0.7500  4 O 2.38-2.64
O 0.1784 0.2802 0.7500  1 Si 1.68
O 0.7198 0.8216 0.7500  1 Si 1.68
O 0.7411 0.2589 0.9343  1 Si 1.65
O 0.7411 0.2589 0.5657  1 Si 1.65
O 0.2589 0.7411 0.0657  1 Si 1.65
O 0.2589 0.7411 0.4343  1 Si 1.65
O 0.8216 0.7198 0.2500  1 Si 1.68
O 0.2802 0.1784 0.2500  1 Si 1.68

## Properties
Total magnetic moment: 0.00 μB per formula unit
Formation energy (no corrections): -215.98 kJ/mol of atoms

Entry 10:
A plane-wave DFT calculation with GGA-PBE was carried out for a geometry-optimized CaSm2BiO6 structure.

Cell lengths 5.9682, 5.9682, 6.2014 Å; angles 61.24, 61.24, 60.00 degrees
Last column: nearest neighbours and their distance in Å.
Atoms (fractional coordinates):
Ca 0.8058 0.8058 0.5825  6 O 2.34-2.46
Sm 0.5266 0.5266 0.4202  6 O 2.32-2.43
Sm 0.0262 0.0262 0.9215  6 O 2.31-2.44
Bi 0.3124 0.3124 0.0628  6 O 2.29-2.30
O 0.6184 0.2072 0.2499  1 Bi 2.29, 2 Sm 2.32-2.44, 1 Ca 2.46
O 0.2072 0.9245 0.2499  1 Bi 2.29, 2 Sm 2.32-2.44, 1 Ca 2.46
O 0.9245 0.6184 0.2499  1 Bi 2.29, 2 Sm 2.32-2.44, 1 Ca 2.46
O 0.4132 0.6969 0.7595  1 Bi 2.30, 2 Sm 2.31-2.43, 1 Ca 2.34
O 0.6969 0.1304 0.7595  1 Bi 2.30, 2 Sm 2.31-2.43, 1 Ca 2.34
O 0.1304 0.4132 0.7595  1 Bi 2.30, 2 Sm 2.31-2.43, 1 Ca 2.34

## Properties
Total magnetic moment: 0.99 μB per formula unit
Formation energy (no corrections): -250.24 kJ/mol of atoms

Entry 11:
A plane-wave DFT calculation with GGA-PBE was carried out for a geometry-optimized SrCaSmBiO6 structure.

Cell lengths 5.9870, 5.9870, 8.7024 Å; angles 90.00, 90.00, 90.00 degrees
Last column: nearest neighbours and their distance in Å.
Atoms (fractional coordinates):
Sr 0.5000 0.5000 0.5000  4 O 2.66
Sr 0.0000 0.0000 0.5000  4 O 2.66
Ca 0.5000 0.5000 0.0000  4 O 2.56
Ca 0.0000 0.0000 0.0000  4 O 2.56
Sm 0.5000 0.0000 0.2476  6 O 2.20-2.31
Sm 0.0000 0.5000 0.7524  6 O 2.20-2.31
Bi 0.5000 0.0000 0.7543  6 O 2.09-2.13
Bi 0.0000 0.5000 0.2457  6 O 2.09-2.13
O 0.5000 0.0000 0.9943  1 Bi 2.09, 1 Sm 2.20
O 0.0000 0.5000 0.0057  1 Bi 2.09, 1 Sm 2.20
O 0.5000 0.0000 0.5091  1 Bi 2.13, 1 Sm 2.28
O 0.0000 0.5000 0.4909  1 Bi 2.13, 1 Sm 2.28
O 0.6590 0.6811 0.7574  1 Bi 2.13, 1 Sm 2.31
O 0.3410 0.3189 0.7574  1 Bi 2.13, 1 Sm 2.31
O 0.8189 0.1590 0.7574  1 Bi 2.13, 1 Sm 2.31
O 0.1811 0.8410 0.7574  1 Bi 2.13, 1 Sm 2.31
O 0.8410 0.1811 0.2426  1 Bi 2.13, 1 Sm 2.31
O 0.1590 0.8189 0.2426  1 Bi 2.13, 1 Sm 2.31
O 0.6811 0.6590 0.2426  1 Bi 2.13, 1 Sm 2.31
O 0.3189 0.3410 0.2426  1 Bi 2.13, 1 Sm 2.31

## Properties
Total magnetic moment: 0.00 μB per formula unit
Formation energy (no corrections): -222.50 kJ/mol of atoms
Offset from the most stable computed form: 84 meV per atom

Entry 12:
A plane-wave DFT calculation with GGA-PBE was carried out for a geometry-optimized SrCaSmBiO6 structure.

Cell lengths 6.1356, 6.1356, 6.1356 Å; angles 60.00, 60.00, 60.00 degrees
Last column: nearest neighbours and their distance in Å.
Atoms (fractional coordinates):
Sr 0.7500 0.7500 0.7500  12 O 3.07
Ca 0.2500 0.2500 0.2500  12 O 3.07
Sm 0.5000 0.5000 0.5000  6 O 2.24
Bi 0.0000 0.0000 0.0000  6 O 2.10
O 0.2417 0.7583 0.2417  1 Bi 2.10, 1 Sm 2.24
O 0.7583 0.2417 0.7583  1 Bi 2.10, 1 Sm 2.24
O 0.2417 0.7583 0.7583  1 Bi 2.10, 1 Sm 2.24
O 0.7583 0.2417 0.2417  1 Bi 2.10, 1 Sm 2.24
O 0.2417 0.2417 0.7583  1 Bi 2.10, 1 Sm 2.24
O 0.7583 0.7583 0.2417  1 Bi 2.10, 1 Sm 2.24

## Properties
Total magnetic moment: 0.00 μB per formula unit
Formation energy (no corrections): -211.68 kJ/mol of atoms
Offset from the most stable computed form: 196 meV per atom